Material: Li5CrO4
Method: DFT, PBE with a Hubbard U
State: relaxed

abc: 2.984 6.019 6.019
angles: 64.20 75.65 75.65
Positions (direct):
1 Li 0.750 0.500 0.500
2 Li 0.589 0.934 0.387
3 Li 0.911 0.066 0.613
4 Li 0.589 0.387 0.934
5 Li 0.911 0.613 0.066
6 O 0.047 0.203 0.203
7 O 0.250 0.288 0.712
8 O 0.250 0.712 0.288
9 O 0.453 0.797 0.797
10 Cr 0.250 0.000 0.000

Results
Its calculated volume is 9.31 A^3/atom. As for the space-group type: Immm. For the density of states at the Fermi level, the calculation gives 0.91 states/eV/f.u. The calculation puts the total energy at -5.25 eV/atom.